{"formula": "Er7Tl4O", "functional": "PBE", "state": "optimized geometry", "e_form_raw_ev_per_fu": -6.53, "m_tot_mub_per_fu": 0.0, "lattice_angstrom": [[4.975, 0.000, 0.000], [2.487, 8.505, 0.394], [2.487, 0.863, 8.126]], "species": ["Er", "Er", "Tl", "Tl", "Er", "Er", "Er", "Er", "Tl", "Tl", "O", "Er"], "fractional_positions": [[0.062, 0.755, 0.121], [0.211, 0.149, 0.428], [0.581, 0.206, 0.632], [0.277, 0.356, 0.090], [0.789, 0.851, 0.572], [0.631, 0.449, 0.289], [0.500, 0.000, 0.000], [0.369, 0.551, 0.711], [0.419, 0.794, 0.368], [0.723, 0.644, 0.910], [0.000, 0.000, 0.000], [0.938, 0.245, 0.879]]}